VASP calculation (PBE) on crystalline B2C at its relaxed geometry.

Values from the calculation:
ΔH_f (0 K), eV per formula unit: 2.00
Energy relative to the lowest polymorph listed for this composition, meV per atom: 482

abc: 4.2596 4.8389 5.0995
angles: 81.97 69.68 80.74
Last column: nearest neighbours and their distance in Å.
Space group P1 (No. 1)
One atom of each set of equivalent atoms:
B 0.0000 0.0000 0.0000 x1  2 C 1.65-1.74, 2 B 1.65-1.74
B 0.0161 0.9096 0.3375 x1  1 C 1.72, 4 B 1.74-1.84
B 0.0384 0.2744 0.2038 x1  2 C 1.56-1.65, 1 B 1.74
B 0.1156 0.1238 0.5461 x1  1 C 1.58
B 0.3490 0.4800 0.1824 x1  2 C 1.58-1.60, 1 B 1.74
B 0.3688 0.8687 0.6945 x1  1 C 1.72, 3 B 1.76-1.89
B 0.6798 0.8140 0.0818 x1  2 C 1.57-1.61, 1 B 1.65
B 0.7245 0.6458 0.5143 x1  2 C 1.61-1.77, 1 B 1.76
C 0.3325 0.7980 0.0431 x1  5 B 1.57-1.72
C 0.6938 0.4964 0.2271 x1  1 C 1.56, 3 B 1.58-1.65
C 0.9023 0.3983 0.6800 x1  1 C 1.37
C 0.9092 0.3640 0.9489 x1  1 C 1.37



VASP calculation (PBE) on crystalline ScAgN2F at its relaxed geometry.

Values from the calculation:
Uncorrected formation energy, eV per atom: -0.1269
Energy relative to the lowest polymorph listed for this composition, meV per atom: 0

abc: 4.3338 4.3338 4.0121
angles: 90.00 90.00 90.00
Last column: nearest neighbours and their distance in Å.
Space group P4/mmm (No. 123)
One atom of each set of equivalent atoms:
Sc 0.0000 0.0000 0.0000 x1  2 F 2.01, 4 N 2.17
Ag 0.5000 0.5000 0.5000 x1  8 N 2.95, 4 F 3.06
N 0.0000 0.5000 0.0000 x2  2 Sc 2.17
F 0.0000 0.0000 0.5000 x1  2 Sc 2.01



Total moment values, unit μB per cell, following the record order: 0.0, 2.8.
Energy values, unit eV/atom, following the record order: -6.8594, -5.6679.